[1]
# PBE Ho5Th4Sc2, optimized geometry
# crystal system	orthorhombic
# DFT formation energy	0.289	eV per atom
# energy above the lowest structure with this stoichiometry	258	meV per atom
# theoretical density	8.54	Mg/m³
# space group	Immm
data_Ho5Th4Sc2
_chemical_formula_sum 'Ho5 Th4 Sc2'
_cell_length_a 11.014
_cell_length_b 11.014
_cell_length_c 11.014
_cell_angle_alpha 162.04
_cell_angle_beta 119.10
_cell_angle_gamma 64.05
_space_group_name_H-M_alt 'P 1'
_space_group_IT_number 1
_space_group_name_Hall 'P 1'
loop_
_atom_site_label
_atom_site_fract_x
_atom_site_fract_y
_atom_site_fract_z
Ho1 0.000 0.000 0.000
Ho2 0.104 0.323 0.782
Ho3 0.459 0.677 0.782
Ho4 0.541 0.323 0.218
Ho5 0.896 0.677 0.218
Th1 0.268 0.500 0.768
Th2 0.410 0.910 0.500
Th3 0.590 0.090 0.500
Th4 0.732 0.500 0.232
Sc1 0.226 0.726 0.500
Sc2 0.774 0.274 0.500

***

[2]
# PBE Ho2Th6Sc, optimized geometry
# crystal system	hexagonal
# DFT formation energy	0.091	eV per atom
# energy above the lowest structure with this stoichiometry	0	meV per atom
# theoretical density	10.33	Mg/m³
# space group	P-6m2
data_Ho2Th6Sc
_chemical_formula_sum 'Ho2 Th6 Sc1'
_cell_length_a 3.515
_cell_length_b 3.515
_cell_length_c 26.546
_cell_angle_alpha 90.00
_cell_angle_beta 90.00
_cell_angle_gamma 120.00
_space_group_name_H-M_alt 'P 1'
_space_group_IT_number 1
_space_group_name_Hall 'P 1'
loop_
_atom_site_label
_atom_site_fract_x
_atom_site_fract_y
_atom_site_fract_z
Ho1 0.000 0.000 0.173
Ho2 0.000 0.000 0.827
Th1 0.000 0.000 0.395
Th2 0.000 0.000 0.605
Th3 0.667 0.333 0.063
Th4 0.667 0.333 0.284
Th5 0.667 0.333 0.716
Th6 0.667 0.333 0.937
Sc1 0.667 0.333 0.500

***

[3]
# PBE Ho2ThSc4, optimized geometry
# crystal system	orthorhombic
# DFT formation energy	0.184	eV per atom
# energy above the lowest structure with this stoichiometry	7	meV per atom
# theoretical density	6.24	Mg/m³
# space group	Cmmm
data_Ho2ThSc4
_chemical_formula_sum 'Ho2 Th1 Sc4'
_cell_length_a 10.636
_cell_length_b 10.636
_cell_length_c 5.279
_cell_angle_alpha 90.00
_cell_angle_beta 90.00
_cell_angle_gamma 160.71
_space_group_name_H-M_alt 'P 1'
_space_group_IT_number 1
_space_group_name_Hall 'P 1'
loop_
_atom_site_label
_atom_site_fract_x
_atom_site_fract_y
_atom_site_fract_z
Ho1 0.074 0.926 0.000
Ho2 0.926 0.074 0.000
Th1 0.500 0.500 0.500
Sc1 0.178 0.822 0.500
Sc2 0.303 0.697 0.000
Sc3 0.697 0.303 0.000
Sc4 0.822 0.178 0.500

***

[4]
# PBE HoThSc3, optimized geometry
# crystal system	monoclinic
# DFT formation energy	0.223	eV per atom
# energy above the lowest structure with this stoichiometry	180	meV per atom
# theoretical density	6.31	Mg/m³
# space group	C2/m
data_HoThSc3
_chemical_formula_sum 'Ho2 Th2 Sc6'
_cell_length_a 8.634
_cell_length_b 8.634
_cell_length_c 10.659
_cell_angle_alpha 106.95
_cell_angle_beta 106.95
_cell_angle_gamma 21.63
_space_group_name_H-M_alt 'P 1'
_space_group_IT_number 1
_space_group_name_Hall 'P 1'
loop_
_atom_site_label
_atom_site_fract_x
_atom_site_fract_y
_atom_site_fract_z
Ho1 0.101 0.101 0.055
Ho2 0.899 0.899 0.945
Th1 0.396 0.396 0.452
Th2 0.604 0.604 0.548
Sc1 0.007 0.007 0.735
Sc2 0.199 0.199 0.367
Sc3 0.304 0.304 0.133
Sc4 0.696 0.696 0.867
Sc5 0.801 0.801 0.633
Sc6 0.993 0.993 0.265

***

[5]
# PBE Ho3ThSc4, optimized geometry
# crystal system	orthorhombic
# DFT formation energy	0.160	eV per atom
# energy above the lowest structure with this stoichiometry	122	meV per atom
# theoretical density	6.70	Mg/m³
# space group	Immm
data_Ho3ThSc4
_chemical_formula_sum 'Ho3 Th1 Sc4'
_cell_length_a 8.486
_cell_length_b 8.486
_cell_length_c 8.486
_cell_angle_alpha 157.81
_cell_angle_beta 98.98
_cell_angle_gamma 85.29
_space_group_name_H-M_alt 'P 1'
_space_group_IT_number 1
_space_group_name_Hall 'P 1'
loop_
_atom_site_label
_atom_site_fract_x
_atom_site_fract_y
_atom_site_fract_z
Ho1 0.000 0.000 0.000
Ho2 0.261 0.761 0.500
Ho3 0.739 0.239 0.500
Th1 0.500 0.500 0.000
Sc1 0.113 0.365 0.748
Sc2 0.384 0.635 0.748
Sc3 0.616 0.365 0.252
Sc4 0.887 0.635 0.252

***

[6]
# PBE HoThSc4, optimized geometry
# crystal system	orthorhombic
# DFT formation energy	0.031	eV per atom
# energy above the lowest structure with this stoichiometry	2	meV per atom
# theoretical density	5.98	Mg/m³
# space group	Cmcm
data_HoThSc4
_chemical_formula_sum 'Ho2 Th2 Sc8'
_cell_length_a 9.767
_cell_length_b 9.767
_cell_length_c 5.301
_cell_angle_alpha 90.00
_cell_angle_beta 90.00
_cell_angle_gamma 140.73
_space_group_name_H-M_alt 'P 1'
_space_group_IT_number 1
_space_group_name_Hall 'P 1'
loop_
_atom_site_label
_atom_site_fract_x
_atom_site_fract_y
_atom_site_fract_z
Ho1 0.126 0.874 0.750
Ho2 0.874 0.126 0.250
Th1 0.374 0.626 0.250
Th2 0.626 0.374 0.750
Sc1 0.040 0.458 0.750
Sc2 0.207 0.291 0.750
Sc3 0.291 0.207 0.250
Sc4 0.458 0.040 0.250
Sc5 0.542 0.960 0.750
Sc6 0.709 0.793 0.750
Sc7 0.793 0.709 0.250
Sc8 0.960 0.542 0.250